Below is a relaxed structure of CeAgHgPb, with properties calculated at the PBE-GGA level.

Computed properties:
Formation energy: -0.254 eV per atom

Cell lengths 4.781, 4.781, 8.981 Å; angles 90.00, 90.00, 90.00 degrees
Space group I-4m2 (No. 119)
Asymmetric unit:
Ce  0.000  0.000  0.000 [2 per cell]
Ag  0.000  0.500  0.250 [2 per cell]
Hg  0.000  0.500  0.750 [2 per cell]
Pb  0.000  0.000  0.500 [2 per cell]

=====

Below is a relaxed structure of LuGa2Fe, with properties calculated at the PBE-GGA level.

Computed properties:
Formation energy: -0.243 eV per atom

Cell lengths 3.222, 3.222, 6.504 Å; angles 90.00, 90.00, 90.00 degrees
Space group P4/mmm (No. 123)
Asymmetric unit:
Lu  0.000  0.000  0.000 [1 per cell]
Ga  0.500  0.500  0.301 [2 per cell]
Fe  0.000  0.000  0.500 [1 per cell]

=====

Below is a relaxed structure of AgRhC2, with properties calculated at the PBE-GGA level.

Computed properties:
Formation energy: 1.285 eV per atom

Cell lengths 4.954, 4.954, 9.018 Å; angles 90.00, 90.00, 90.00 degrees
Space group I-42d (No. 122)
Asymmetric unit:
Ag  0.000  0.000  0.000 [4 per cell]
Rh  0.000  0.000  0.500 [4 per cell]
C  0.199  0.250  0.625 [8 per cell]

=====

Below is a relaxed structure of Zn2SbOs, with properties calculated at the PBE-GGA level.

Computed properties:
Formation energy without anion corrections: 418 meV per atom

Cell lengths 5.303, 7.874, 3.202 Å; angles 90.00, 90.00, 90.00 degrees
Space group Cmmm (No. 65)
Asymmetric unit:
Zn  0.250  0.250  0.000 [4 per cell]
Sb  0.000  0.000  0.500 [2 per cell]
Os  0.000  0.500  0.500 [2 per cell]

=====

Below is a relaxed structure of Tb5PrY, with properties calculated at the PBE-GGA level.

Computed properties:
Formation energy: 1.074 eV per atom

Cell lengths 5.820, 8.666, 11.972 Å; angles 90.00, 90.00, 90.00 degrees
Space group Immm (No. 71)
Asymmetric unit:
Tb  0.000  0.000  0.000 [2 per cell]
Tb  0.000  0.177  0.500 [4 per cell]
Tb  0.000  0.500  0.254 [4 per cell]
Pr  0.000  0.500  0.500 [2 per cell]
Y  0.000  0.500  0.000 [2 per cell]

=====

Below is a relaxed structure of CaLa2Rh, with properties calculated at the PBE-GGA level.

Computed properties:
Formation energy: -0.314 eV per atom

Cell lengths 4.297, 4.027, 7.389 Å; angles 90.00, 102.33, 90.00 degrees
Space group P2/m (No. 10)
Asymmetric unit:
Ca  0.000  0.000  0.000 [1 per cell]
La  0.384  0.500  0.690 [2 per cell]
Rh  0.000  0.000  0.500 [1 per cell]

=====

Below is a relaxed structure of CsGeBi2S, with properties calculated at the PBE-GGA level.

Computed properties:
Formation energy without anion corrections: 428 meV per atom

Cell lengths 5.426, 5.426, 7.311 Å; angles 90.00, 90.00, 90.00 degrees
Space group P4/mmm (No. 123)
Asymmetric unit:
Cs  0.000  0.000  0.000 [1 per cell]
Ge  0.000  0.000  0.500 [1 per cell]
Bi  0.000  0.500  0.500 [2 per cell]
S  0.500  0.500  0.000 [1 per cell]

=====

Below is a relaxed structure of Zn4InIr, with properties calculated at the PBE-GGA level.

Computed properties:
Formation energy: 0.001 eV per atom

Cell lengths 7.131, 7.131, 7.131 Å; angles 90.00, 90.00, 90.00 degrees
Space group F-43m (No. 216)
Asymmetric unit:
Zn  0.125  0.125  0.125 [16 per cell]
In  0.000  0.000  0.500 [4 per cell]
Ir  0.250  0.250  0.750 [4 per cell]

=====

Below is a relaxed structure of Nd3Zn, with properties calculated at the PBE-GGA level.

Computed properties:
Formation energy: 0.064 eV per atom

Cell lengths 7.781, 7.781, 7.781 Å; angles 90.00, 90.00, 90.00 degrees
Space group Fm-3m (No. 225)
Asymmetric unit:
Nd  0.000  0.000  0.000 [4 per cell]
Nd  0.250  0.250  0.250 [8 per cell]
Zn  0.000  0.000  0.500 [4 per cell]

=====

Below is a relaxed structure of RbGeAs2, with properties calculated at the PBE-GGA level.

Computed properties:
Formation energy: -0.068 eV per atom

Cell lengths 8.292, 8.292, 6.894 Å; angles 90.00, 90.00, 90.00 degrees
Space group I4/mcm (No. 140)
Asymmetric unit:
Rb  0.000  0.000  0.250 [4 per cell]
Ge  0.000  0.500  0.250 [4 per cell]
As  0.153  0.347  0.000 [8 per cell]

=====

Below is a relaxed structure of LiTiAg2, with properties calculated at the PBE-GGA level.

Computed properties:
Formation energy: -0.024 eV per atom

Cell lengths 2.995, 2.995, 7.393 Å; angles 90.00, 90.00, 90.00 degrees
Space group P4/mmm (No. 123)
Asymmetric unit:
Li  0.000  0.000  0.000 [1 per cell]
Ti  0.000  0.000  0.500 [1 per cell]
Ag  0.500  0.500  0.235 [2 per cell]

=====

Below is a relaxed structure of MnAsOs2, with properties calculated at the PBE-GGA level.

Computed properties:
Formation energy: 0.299 eV per atom

Cell lengths 2.852, 3.875, 5.214 Å; angles 90.00, 90.00, 90.00 degrees
Space group Pmm2 (No. 25)
Asymmetric unit:
Mn  0.000  0.000  0.000 [1 per cell]
As  0.500  0.500  0.755 [1 per cell]
Os  0.000  0.000  0.488 [1 per cell]
Os  0.500  0.500  0.255 [1 per cell]

=====

Q: Which final energy values were calculated for the entries above? A: -13.8; -20.0; -23.5; -16.2; -26.9; -20.5; -15.2; -16.7; -15.3; -15.2; -15.6; -35.1, in eV/f.u..